No. 1
Entry from Alexandria: an optimized crystal structure of SrRe2RhS (PBE).

Total energy   -31.72 eV for the cell shown
Formation energy (no corrections)   1.2682 eV/atom
Theoretical density   8.46 g/cm3

a b c (Å): 4.7526 4.7526 5.1725
angles (deg): 90.00 90.00 90.00
Fractional coordinates of all 5 atoms:
Sr  0.0000  0.0000  0.0000
Re  0.0000  0.5000  0.5000
Re  0.5000  0.0000  0.5000
Rh  0.5000  0.5000  0.5000
S  0.5000  0.5000  0.0000

---

No. 2
Entry from Alexandria: an optimized crystal structure of Re2TcRhS (PBE).

Total energy   -37.21 eV for the cell shown
Formation energy (no corrections)   1.9056 eV/atom
Theoretical density   10.38 g/cm3

a b c (Å): 4.7237 4.7237 4.3414
angles (deg): 90.00 90.00 90.00
Fractional coordinates of all 5 atoms:
Re  0.0000  0.5000  0.0000
Re  0.5000  0.0000  0.0000
Tc  0.0000  0.0000  0.0000
Rh  0.5000  0.5000  0.5000
S  0.0000  0.0000  0.5000

---

No. 3
Entry from Alexandria: an optimized crystal structure of ZnRe2RhS (PBE).

Total energy   -26.54 eV for the cell shown
Formation energy (no corrections)   2.2214 eV/atom
Theoretical density   10.43 g/cm3

a b c (Å): 4.6443 4.6443 4.2258
angles (deg): 90.00 90.00 90.00
Fractional coordinates of all 5 atoms:
Zn  0.0000  0.0000  0.0000
Re  0.0000  0.5000  0.0000
Re  0.5000  0.0000  0.0000
Rh  0.5000  0.5000  0.5000
S  0.0000  0.0000  0.5000

---

No. 4
Entry from Alexandria: an optimized crystal structure of ReSbRh2 (PBE).

Total energy   -31.00 eV for the cell shown
Formation energy (no corrections)   0.0689 eV/atom
Theoretical density   13.32 g/cm3

a b c (Å): 2.9218 3.9076 5.6084
angles (deg): 90.00 90.00 90.00
Fractional coordinates of all 4 atoms:
Re  0.0000  0.0000  0.0000
Sb  0.0000  0.0000  0.5000
Rh  0.5000  0.5000  0.2327
Rh  0.5000  0.5000  0.7673

---

No. 5
Entry from Alexandria: an optimized crystal structure of ReSbRh2 (PBE).

Total energy   -30.84 eV for the cell shown
Formation energy (no corrections)   0.1089 eV/atom
Theoretical density   13.53 g/cm3

a b c (Å): 4.7484 4.7484 4.7484
angles (deg): 128.95 128.95 75.08
Fractional coordinates of all 4 atoms:
Re  0.0000  0.0000  0.0000
Sb  0.7500  0.2500  0.5000
Rh  0.2500  0.7500  0.5000
Rh  0.5000  0.5000  0.0000

---

No. 6
Entry from Alexandria: an optimized crystal structure of ReSbRh2 (PBE).

Total energy   -30.96 eV for the cell shown
Formation energy (no corrections)   0.0775 eV/atom
Theoretical density   13.30 g/cm3

a b c (Å): 4.7591 4.7591 4.9960
angles (deg): 102.53 102.53 35.61
Fractional coordinates of all 4 atoms:
Re  0.0000  0.0000  0.0000
Sb  0.7416  0.7416  0.3211
Rh  0.2514  0.2514  0.8156
Rh  0.4875  0.4875  0.5404

---

No. 7
Entry from Alexandria: an optimized crystal structure of ReSb4Rh (PBE).

Total energy   -27.98 eV for the cell shown
Formation energy (no corrections)   1.3841 eV/atom
Theoretical density   8.80 g/cm3

a b c (Å): 5.9158 5.9158 5.9158
angles (deg): 60.00 60.00 60.00
Fractional coordinates of all 6 atoms:
Re  0.0000  0.0000  0.0000
Sb  0.3751  0.3751  0.3751
Sb  0.3751  0.3751  0.8746
Sb  0.3751  0.8746  0.3751
Sb  0.8746  0.3751  0.3751
Rh  0.7500  0.7500  0.7500

---

No. 8
Entry from Alexandria: an optimized crystal structure of ReSbRh2 (PBE).

Total energy   -30.94 eV for the cell shown
Formation energy (no corrections)   0.0846 eV/atom
Theoretical density   13.57 g/cm3

a b c (Å): 4.8752 4.8752 4.8752
angles (deg): 131.92 131.92 70.35
Fractional coordinates of all 4 atoms:
Re  0.0000  0.0000  0.0000
Sb  0.5000  0.5000  0.0000
Rh  0.2500  0.7500  0.5000
Rh  0.7500  0.2500  0.5000